A geometry-optimized La2Nb2Os structure. Source: Alexandria, functional PBE.

Geometry as CIF:
```
data_La2Nb2Os
_cell_length_a 6.739
_cell_length_b 6.739
_cell_length_c 5.368
_cell_angle_alpha 90.00
_cell_angle_beta 90.00
_cell_angle_gamma 90.00
_symmetry_space_group_name_H-M 'P 1'
_symmetry_Int_Tables_number 1
_symmetry_space_group_name_Hall 'P 1'
loop_
_atom_site_label
_atom_site_type_symbol
_atom_site_fract_x
_atom_site_fract_y
_atom_site_fract_z
La1 La 0.172 0.328 0.000
La2 La 0.328 0.828 0.000
La3 La 0.672 0.172 0.000
La4 La 0.828 0.672 0.000
Nb1 Nb 0.147 0.647 0.500
Nb2 Nb 0.353 0.147 0.500
Nb3 Nb 0.647 0.853 0.500
Nb4 Nb 0.853 0.353 0.500
Os1 Os 0.000 0.000 0.500
Os2 Os 0.500 0.500 0.500
```

Energy of formation = 199 meV per atom
Mass density = 8.91 g/cm3
E_tot = -8.05 eV/atom
Crystal system = tetragonal

=====

A geometry-optimized BaAcBiTe structure. Source: Alexandria, functional PBE.

Geometry as CIF:
```
data_BaAcBiTe
_cell_length_a 8.618
_cell_length_b 8.618
_cell_length_c 8.618
_cell_angle_alpha 33.27
_cell_angle_beta 33.27
_cell_angle_gamma 33.27
_symmetry_space_group_name_H-M 'P 1'
_symmetry_Int_Tables_number 1
_symmetry_space_group_name_Hall 'P 1'
loop_
_atom_site_label
_atom_site_type_symbol
_atom_site_fract_x
_atom_site_fract_y
_atom_site_fract_z
Ba1 Ba 0.000 0.000 0.000
Ac1 Ac 0.504 0.504 0.504
Bi1 Bi 0.246 0.246 0.246
Te1 Te 0.757 0.757 0.757
```

Mass density = 6.79 g/cm3
E_tot = -4.61 eV/atom
Crystal system = trigonal
Relative energy among the computed polymorphs = 0.0 meV/atom

=====

A geometry-optimized HoErAl4 structure. Source: Alexandria, functional PBE.

Geometry as CIF:
```
data_HoErAl4
_cell_length_a 5.535
_cell_length_b 5.535
_cell_length_c 5.535
_cell_angle_alpha 60.00
_cell_angle_beta 60.00
_cell_angle_gamma 60.00
_symmetry_space_group_name_H-M 'P 1'
_symmetry_Int_Tables_number 1
_symmetry_space_group_name_Hall 'P 1'
loop_
_atom_site_label
_atom_site_type_symbol
_atom_site_fract_x
_atom_site_fract_y
_atom_site_fract_z
Ho1 Ho 0.000 0.000 0.000
Er1 Er 0.250 0.250 0.250
Al1 Al 0.125 0.625 0.625
Al2 Al 0.625 0.125 0.625
Al3 Al 0.625 0.625 0.125
Al4 Al 0.625 0.625 0.625
```

Energy of formation = -511 meV per atom
Mass density = 6.09 g/cm3
E_tot = -4.53 eV/atom
Crystal system = cubic

=====

A geometry-optimized KPuSnSe3 structure. Source: Alexandria, functional PBE.

Geometry as CIF:
```
data_KPuSnSe3
_cell_length_a 8.524
_cell_length_b 4.238
_cell_length_c 11.625
_cell_angle_alpha 90.00
_cell_angle_beta 106.68
_cell_angle_gamma 90.00
_symmetry_space_group_name_H-M 'P 1'
_symmetry_Int_Tables_number 1
_symmetry_space_group_name_Hall 'P 1'
loop_
_atom_site_label
_atom_site_type_symbol
_atom_site_fract_x
_atom_site_fract_y
_atom_site_fract_z
K1 K 0.211 0.250 0.243
K2 K 0.789 0.750 0.757
Pu1 Pu 0.360 0.750 0.850
Pu2 Pu 0.640 0.250 0.150
Sn1 Sn 0.154 0.250 0.565
Sn2 Sn 0.846 0.750 0.435
Se1 Se 0.108 0.250 0.785
Se2 Se 0.372 0.750 0.600
Se3 Se 0.399 0.750 0.103
Se4 Se 0.601 0.250 0.897
Se5 Se 0.628 0.250 0.400
Se6 Se 0.892 0.750 0.215
```

Mass density = 5.27 g/cm3
E_tot = -6.08 eV/atom
Crystal system = monoclinic

=====

A geometry-optimized YNiMo2 structure. Source: Alexandria, functional PBE.

Geometry as CIF:
```
data_YNiMo2
_cell_length_a 4.555
_cell_length_b 4.555
_cell_length_c 4.555
_cell_angle_alpha 60.00
_cell_angle_beta 60.00
_cell_angle_gamma 60.00
_symmetry_space_group_name_H-M 'P 1'
_symmetry_Int_Tables_number 1
_symmetry_space_group_name_Hall 'P 1'
loop_
_atom_site_label
_atom_site_type_symbol
_atom_site_fract_x
_atom_site_fract_y
_atom_site_fract_z
Y1 Y 0.000 0.000 0.000
Ni1 Ni 0.500 0.500 0.500
Mo1 Mo 0.250 0.250 0.250
Mo2 Mo 0.750 0.750 0.750
```

Energy of formation = 663 meV per atom
Mass density = 8.44 g/cm3
E_tot = -7.81 eV/atom
Crystal system = cubic
Relative energy among the computed polymorphs = 546.0 meV/atom

=====

A geometry-optimized SnGePd2S structure. Source: Alexandria, functional PBE.

Geometry as CIF:
```
data_SnGePd2S
_cell_length_a 4.952
_cell_length_b 4.952
_cell_length_c 5.343
_cell_angle_alpha 90.00
_cell_angle_beta 90.00
_cell_angle_gamma 90.00
_symmetry_space_group_name_H-M 'P 1'
_symmetry_Int_Tables_number 1
_symmetry_space_group_name_Hall 'P 1'
loop_
_atom_site_label
_atom_site_type_symbol
_atom_site_fract_x
_atom_site_fract_y
_atom_site_fract_z
Sn1 Sn 0.000 0.000 0.000
Ge1 Ge 0.000 0.000 0.500
Pd1 Pd 0.000 0.500 0.000
Pd2 Pd 0.500 0.000 0.000
S1 S 0.500 0.500 0.500
```

Mass density = 5.53 g/cm3
E_tot = -3.78 eV/atom
Crystal system = tetragonal

=====

A geometry-optimized DyBeZn2Au4 structure. Source: Alexandria, functional PBE.

Geometry as CIF:
```
data_DyBeZn2Au4
_cell_length_a 8.490
_cell_length_b 8.490
_cell_length_c 8.490
_cell_angle_alpha 30.57
_cell_angle_beta 30.57
_cell_angle_gamma 30.57
_symmetry_space_group_name_H-M 'P 1'
_symmetry_Int_Tables_number 1
_symmetry_space_group_name_Hall 'P 1'
loop_
_atom_site_label
_atom_site_type_symbol
_atom_site_fract_x
_atom_site_fract_y
_atom_site_fract_z
Dy1 Dy 0.000 0.000 0.000
Be1 Be 0.500 0.500 0.500
Zn1 Zn 0.249 0.249 0.249
Zn2 Zn 0.751 0.751 0.751
Au1 Au 0.135 0.135 0.135
Au2 Au 0.400 0.400 0.400
Au3 Au 0.600 0.600 0.600
Au4 Au 0.865 0.865 0.865
```

Energy of formation = -379 meV per atom
Mass density = 12.90 g/cm3
E_tot = -3.38 eV/atom
Crystal system = trigonal

=====

A geometry-optimized La3YTh2P6 structure. Source: Alexandria, functional PBE.

Geometry as CIF:
```
data_La3YTh2P6
_cell_length_a 7.238
_cell_length_b 7.238
_cell_length_c 7.270
_cell_angle_alpha 99.54
_cell_angle_beta 99.54
_cell_angle_gamma 120.03
_symmetry_space_group_name_H-M 'P 1'
_symmetry_Int_Tables_number 1
_symmetry_space_group_name_Hall 'P 1'
loop_
_atom_site_label
_atom_site_type_symbol
_atom_site_fract_x
_atom_site_fract_y
_atom_site_fract_z
La1 La 0.000 0.000 0.000
La2 La 0.333 0.667 0.000
La3 La 0.667 0.333 0.000
Y1 Y 0.500 0.500 0.500
Th1 Th 0.167 0.833 0.500
Th2 Th 0.833 0.167 0.500
P1 P 0.089 0.421 0.262
P2 P 0.248 0.248 0.739
P3 P 0.421 0.089 0.262
P4 P 0.579 0.911 0.738
P5 P 0.752 0.752 0.261
P6 P 0.911 0.579 0.738
```

Energy of formation = -1600 meV per atom
Mass density = 6.17 g/cm3
E_tot = -7.31 eV/atom
Crystal system = monoclinic

=====

A geometry-optimized CoSb2W structure. Source: Alexandria, functional PBE.

Geometry as CIF:
```
data_CoSb2W
_cell_length_a 4.734
_cell_length_b 4.734
_cell_length_c 4.734
_cell_angle_alpha 60.00
_cell_angle_beta 60.00
_cell_angle_gamma 60.00
_symmetry_space_group_name_H-M 'P 1'
_symmetry_Int_Tables_number 1
_symmetry_space_group_name_Hall 'P 1'
loop_
_atom_site_label
_atom_site_type_symbol
_atom_site_fract_x
_atom_site_fract_y
_atom_site_fract_z
Co1 Co 0.000 0.000 0.000
Sb1 Sb 0.500 0.500 0.500
Sb2 Sb 0.750 0.750 0.750
W1 W 0.250 0.250 0.250
```

Mass density = 10.76 g/cm3
E_tot = -6.12 eV/atom
Crystal system = cubic
Relative energy among the computed polymorphs = 713.4 meV/atom

=====

A geometry-optimized BAsOs2 structure. Source: Alexandria, functional PBE.

Geometry as CIF:
```
data_BAsOs2
_cell_length_a 4.129
_cell_length_b 4.129
_cell_length_c 4.129
_cell_angle_alpha 60.00
_cell_angle_beta 60.00
_cell_angle_gamma 60.00
_symmetry_space_group_name_H-M 'P 1'
_symmetry_Int_Tables_number 1
_symmetry_space_group_name_Hall 'P 1'
loop_
_atom_site_label
_atom_site_type_symbol
_atom_site_fract_x
_atom_site_fract_y
_atom_site_fract_z
B1 B 0.000 0.000 0.000
As1 As 0.500 0.500 0.500
Os1 Os 0.250 0.250 0.250
Os2 Os 0.750 0.750 0.750
```

Energy of formation = 520 meV per atom
Mass density = 15.55 g/cm3
E_tot = -7.93 eV/atom
Crystal system = cubic
Relative energy among the computed polymorphs = 0.0 meV/atom

=====

A geometry-optimized SrIrN2 structure. Source: Alexandria, functional PBE.

Geometry as CIF:
```
data_SrIrN2
_cell_length_a 3.933
_cell_length_b 3.933
_cell_length_c 7.838
_cell_angle_alpha 90.00
_cell_angle_beta 90.00
_cell_angle_gamma 90.00
_symmetry_space_group_name_H-M 'P 1'
_symmetry_Int_Tables_number 1
_symmetry_space_group_name_Hall 'P 1'
loop_
_atom_site_label
_atom_site_type_symbol
_atom_site_fract_x
_atom_site_fract_y
_atom_site_fract_z
Sr1 Sr 0.250 0.250 0.163
Sr2 Sr 0.750 0.750 0.837
Ir1 Ir 0.250 0.250 0.591
Ir2 Ir 0.750 0.750 0.409
N1 N 0.250 0.250 0.842
N2 N 0.250 0.750 0.500
N3 N 0.750 0.250 0.500
N4 N 0.750 0.750 0.158
```

Mass density = 8.43 g/cm3
E_tot = -6.67 eV/atom
Crystal system = tetragonal
Relative energy among the computed polymorphs = 191.8 meV/atom

=====

A geometry-optimized Ac8TbY4 structure. Source: Alexandria, functional PBE.

Geometry as CIF:
```
data_Ac8TbY4
_cell_length_a 8.338
_cell_length_b 8.338
_cell_length_c 8.338
_cell_angle_alpha 90.00
_cell_angle_beta 90.00
_cell_angle_gamma 90.00
_symmetry_space_group_name_H-M 'P 1'
_symmetry_Int_Tables_number 1
_symmetry_space_group_name_Hall 'P 1'
loop_
_atom_site_label
_atom_site_type_symbol
_atom_site_fract_x
_atom_site_fract_y
_atom_site_fract_z
Ac1 Ac 0.242 0.242 0.242
Ac2 Ac 0.242 0.242 0.758
Ac3 Ac 0.242 0.758 0.242
Ac4 Ac 0.242 0.758 0.758
Ac5 Ac 0.758 0.242 0.242
Ac6 Ac 0.758 0.242 0.758
Ac7 Ac 0.758 0.758 0.242
Ac8 Ac 0.758 0.758 0.758
Tb1 Tb 0.500 0.500 0.500
Y1 Y 0.000 0.000 0.000
Y2 Y 0.000 0.500 0.500
Y3 Y 0.500 0.000 0.500
Y4 Y 0.500 0.500 0.000
```

Energy of formation = 403 meV per atom
Mass density = 6.68 g/cm3
E_tot = -4.47 eV/atom
Crystal system = cubic